Compound: Ca2CuHg
Source: Alexandria via LeMat-Bulk
Functional: GGA-PBE
Structure: relaxed

Output
The total moment is 0.00 μB per formula unit. The value obtained for the formation energy is -201 meV/atom. As for the space group: Cm.

abc: 5.968 5.968 5.304
angles: 72.37 72.37 34.32
Fractional coordinates of all 4 atoms:
1 Cu 0.523 0.523 0.521
2 Hg 0.218 0.218 0.240
3 Ca 0.980 0.980 0.049
4 Ca 0.779 0.779 0.690